Record 1
Compound: K2RuO5
Source: Alexandria
Functional: GGA-PBEsol
Structure: optimized geometry

The structure in extended XYZ format:
```
32
Lattice="6.181 0.000 0.000 0.000 7.811 0.000 0.000 0.000 11.346" Properties=species:S:1:pos:R:3 pbc="T T T"
K 0.079 1.185 3.666
K 0.289 4.837 6.229
K 2.802 2.974 0.555
K 3.012 6.626 9.339
K 3.169 2.721 7.681
K 3.380 6.879 5.118
K 5.892 0.931 10.791
K 6.103 5.090 2.008
Ru 0.398 0.498 7.248
Ru 2.693 7.313 1.575
Ru 3.489 3.407 4.098
Ru 5.783 4.403 9.772
O 0.378 3.596 11.176
O 0.708 1.980 6.378
O 1.104 4.359 8.864
O 1.317 1.000 8.715
O 1.470 0.811 1.449
O 1.621 7.000 7.122
O 1.773 6.811 3.042
O 1.986 3.452 3.191
O 2.383 5.831 0.705
O 2.713 4.215 5.503
O 3.469 0.309 0.170
O 3.799 1.926 4.968
O 4.195 7.357 2.482
O 4.408 2.906 2.632
O 4.561 3.094 9.897
O 4.711 4.716 4.224
O 4.864 4.905 8.305
O 5.077 0.453 8.155
O 5.474 5.885 10.642
O 5.804 7.501 5.843
```

Output
As for the total energy: -5.968 eV per atom. As for the space group: P2_12_12_1, No. 19. Its mass density is 3.144 Mg/m³. For the uncorrected formation energy, the calculation gives -1.132 eV/atom.


Record 2
Compound: KRuO3
Source: Alexandria
Functional: GGA-PBEsol
Structure: optimized geometry

The structure in extended XYZ format:
```
5
Lattice="3.859 0.000 0.000 0.000 3.859 0.000 0.000 0.000 3.859" Properties=species:S:1:pos:R:3 pbc="T T T"
K 0.000 0.000 0.000
Ru 1.929 1.929 1.929
O 0.000 1.929 1.929
O 1.929 0.000 1.929
O 1.929 1.929 0.000
```

Output
As for the total energy: -6.625 eV per atom. As for the space group: Pm-3m, No. 221. Its mass density is 5.439 Mg/m³. For the uncorrected formation energy, the calculation gives -1.214 eV/atom. The density of states at the Fermi level is 3.0 states/eV per cell.


Record 3
Compound: K2SO4
Source: Alexandria
Functional: GGA-PBEsol
Structure: optimized geometry

The structure in extended XYZ format:
```
28
Lattice="7.440 0.000 0.000 0.000 5.742 0.000 0.000 0.000 10.025" Properties=species:S:1:pos:R:3 pbc="T T T"
K 0.059 1.435 2.022
K 1.271 4.306 4.142
K 2.448 1.435 9.155
K 3.660 4.306 7.035
K 3.779 1.435 2.990
K 4.991 4.306 0.870
K 6.168 1.435 5.882
K 7.380 4.306 8.002
S 1.722 4.306 0.807
S 1.998 1.435 5.819
S 5.442 4.306 4.205
S 5.718 1.435 9.218
O 0.240 4.306 0.801
O 1.466 1.435 4.422
O 1.498 0.218 6.521
O 1.498 2.653 6.521
O 2.222 3.089 1.509
O 2.222 5.524 1.509
O 2.254 4.306 9.435
O 3.480 1.435 5.813
O 3.959 4.306 4.212
O 5.185 1.435 0.590
O 5.218 0.218 8.516
O 5.218 2.653 8.516
O 5.942 3.089 3.503
O 5.942 5.524 3.503
O 5.974 4.306 5.602
O 7.200 1.435 9.224
```

Output
The polymorph energy (0 for the lowest one) comes out at 0.00 kcal/mol of atoms. As for the total energy: -5.869 eV per atom. As for the space group: Pnma, No. 62. Its mass density is 2.703 Mg/m³. For the uncorrected formation energy, the calculation gives -1.920 eV/atom. The density of states at the Fermi level is 0.0 states/eV per cell.


Record 4
Compound: K2S2O5
Source: Alexandria
Functional: GGA-PBEsol
Structure: optimized geometry

The structure in extended XYZ format:
```
18
Lattice="7.017 0.000 0.000 0.000 6.125 0.000 -1.587 0.000 7.361" Properties=species:S:1:pos:R:3 pbc="T T T"
K 0.728 1.531 1.278
K 1.104 4.594 4.209
K 4.327 1.531 3.152
K 4.703 4.594 6.082
S 0.219 1.531 5.454
S 3.015 4.594 1.304
S 2.416 1.531 6.057
S 5.211 4.594 1.907
O -0.355 0.302 6.051
O -0.355 2.760 6.051
O 0.143 1.531 3.975
O 2.553 3.363 2.032
O 2.553 5.825 2.032
O 2.877 0.300 5.328
O 2.877 2.762 5.328
O 5.287 4.594 3.385
O 5.785 3.365 1.310
O 5.785 5.823 1.310
```

Output
As for the total energy: -5.756 eV per atom. As for the space group: P2_1/m, No. 11. Its mass density is 2.334 Mg/m³. For the uncorrected formation energy, the calculation gives -1.614 eV/atom. The density of states at the Fermi level is 0.0 states/eV per cell.


Record 5
Compound: KS2O3
Source: Alexandria
Functional: GGA-PBEsol
Structure: optimized geometry

The structure in extended XYZ format:
```
48
Lattice="10.978 -4.033 0.000 10.978 4.033 0.000 -2.144 0.000 9.882" Properties=species:S:1:pos:R:3 pbc="T T T"
K 4.327 1.267 1.094
K 9.905 3.464 4.941
K 6.658 0.725 4.396
K 3.255 -1.267 6.035
K 5.586 -0.725 9.337
K 16.802 0.922 3.192
K 15.730 -0.922 8.133
K 10.978 -3.464 0.000
S 1.302 1.063 7.731
S 8.081 2.410 1.553
S 2.375 -1.063 2.790
S 8.173 1.456 7.634
S 10.016 1.484 1.506
S 11.733 1.689 9.672
S 10.176 0.423 3.197
S 13.287 1.144 1.629
S 9.104 -0.423 8.138
S 13.830 1.336 9.811
S 9.245 -1.456 2.693
S 8.943 -1.484 6.447
S 7.009 -2.410 6.494
S 12.215 -1.144 6.570
S 12.806 -1.689 4.731
S 14.902 -1.336 4.870
O 7.826 2.822 2.939
O 4.465 1.669 5.767
O 2.683 0.904 8.214
O 1.961 0.011 1.890
O 0.889 -0.011 6.831
O 7.089 1.436 1.070
O 8.903 2.388 8.484
O 6.757 1.305 7.976
O 8.405 1.629 6.202
O 12.413 2.646 3.866
O 3.756 -0.904 3.273
O 5.537 -1.669 0.826
O 6.017 -1.436 6.011
O 7.829 -1.305 3.035
O 14.287 1.495 8.422
O 9.477 -1.629 1.261
O 6.754 -2.822 7.879
O 15.078 0.022 5.390
O 16.150 -0.022 0.450
O 9.975 -2.388 3.543
O 18.238 0.528 5.558
O 15.359 -1.495 3.481
O 11.340 -2.646 8.807
O 19.310 -0.528 0.617
```

Output
As for the total energy: -5.664 eV per atom. As for the space group: Cc, No. 9. Its mass density is 2.296 Mg/m³. For the uncorrected formation energy, the calculation gives -1.389 eV/atom. The density of states at the Fermi level is 0.0 states/eV per cell.


Record 6
Compound: K2SO4
Source: Alexandria
Functional: GGA-PBEsol
Structure: optimized geometry

The structure in extended XYZ format:
```
14
Lattice="2.945 -4.938 0.000 2.945 4.938 0.000 0.000 0.000 7.863" Properties=species:S:1:pos:R:3 pbc="T T T"
K 0.000 0.000 0.000
K 0.000 0.000 3.932
K 2.945 1.873 5.897
K 2.945 -1.873 1.966
S 2.945 1.499 1.966
S 2.945 -1.499 5.897
O 1.729 0.628 1.966
O 2.945 2.355 0.753
O 2.945 2.355 3.178
O 1.729 -0.628 5.897
O 4.161 0.628 1.966
O 2.945 -2.355 4.685
O 2.945 -2.355 7.110
O 4.161 -0.628 5.897
```

Output
The polymorph energy (0 for the lowest one) comes out at 0.37 kcal/mol of atoms. As for the total energy: -5.853 eV per atom. As for the space group: Cmcm, No. 63. Its mass density is 2.531 Mg/m³. For the uncorrected formation energy, the calculation gives -1.904 eV/atom. The density of states at the Fermi level is 0.0 states/eV per cell.


Record 7
Compound: K3Sb7S3O9
Source: Alexandria
Functional: GGA-PBEsol
Structure: optimized geometry

The structure in extended XYZ format:
```
44
Lattice="14.257 0.000 0.000 -7.128 12.347 0.000 0.000 0.000 5.615" Properties=species:S:1:pos:R:3 pbc="T T T"
K -4.256 9.990 0.000
K 0.604 3.666 0.000
K 3.477 1.309 2.807
K 3.652 11.037 0.000
K 6.524 8.681 2.807
K 11.384 2.356 2.807
Sb -4.081 7.544 2.776
Sb -0.866 5.574 2.841
Sb -1.868 10.310 2.841
Sb 0.000 8.231 0.642
Sb 2.635 5.041 2.776
Sb 5.683 0.238 5.583
Sb 4.395 3.537 0.034
Sb 2.734 8.810 2.841
Sb 1.446 12.109 2.776
Sb 4.493 7.306 5.583
Sb 7.128 4.116 3.450
Sb 8.996 2.037 0.034
Sb 7.994 6.772 0.034
Sb 11.209 4.802 5.583
S -2.140 7.710 5.226
S 1.521 6.638 5.226
S 0.619 10.345 5.226
S 6.509 2.002 2.419
S 5.607 5.709 2.419
S 9.269 4.636 2.419
O -1.703 4.451 1.397
O -1.637 4.365 4.212
O -3.702 9.540 2.731
O 0.717 4.371 2.731
O -2.529 11.582 4.212
O -2.423 11.596 1.397
O 4.144 1.565 5.538
O 2.962 3.601 1.405
O 3.003 3.700 4.205
O 4.125 8.647 1.397
O 4.166 8.746 4.212
O 2.985 10.782 2.731
O 9.551 0.751 4.205
O 9.658 0.765 1.405
O 6.411 7.976 5.538
O 10.830 2.806 5.538
O 8.766 7.981 1.405
O 8.831 7.896 4.205
```

Output
As for the total energy: -5.590 eV per atom. As for the space group: P6_3, No. 173. Its mass density is 4.065 Mg/m³. For the uncorrected formation energy, the calculation gives -1.240 eV/atom. The density of states at the Fermi level is 0.0 states/eV per cell.


Record 8
Compound: K2SeS2O6
Source: Alexandria
Functional: GGA-PBEsol
Structure: optimized geometry

The structure in extended XYZ format:
```
44
Lattice="9.554 0.000 0.000 0.000 5.934 0.000 -5.586 0.000 14.372" Properties=species:S:1:pos:R:3 pbc="T T T"
K -0.510 1.304 2.600
K -3.303 1.663 9.785
K -2.786 1.380 13.909
K 0.007 1.587 6.723
K 3.961 4.347 7.648
K 6.754 4.554 0.463
K 7.271 4.270 4.586
K 4.478 4.630 11.772
Se -0.336 3.973 10.107
Se 2.457 4.928 2.921
Se 1.511 1.006 11.450
Se 4.304 1.961 4.265
S 1.029 4.207 1.290
S -1.764 4.694 8.476
S -1.688 4.401 11.893
S 1.105 4.500 4.707
S 2.863 1.434 9.665
S 5.656 1.533 2.479
S 5.732 1.240 5.895
S 2.939 1.727 13.081
O -3.108 4.303 8.917
O -0.315 4.598 1.731
O -1.259 3.961 7.315
O 1.534 4.940 0.130
O -1.604 0.211 8.362
O 1.189 2.756 1.177
O -2.655 3.290 11.931
O 0.138 5.611 4.745
O 0.444 3.207 4.478
O -2.349 5.693 11.664
O -0.755 4.398 13.012
O 2.038 4.503 5.826
O 1.931 1.431 8.545
O 4.724 1.536 1.360
O 6.317 0.241 2.708
O 3.524 2.726 9.893
O 3.830 0.323 9.626
O 6.623 2.644 2.441
O 2.779 3.178 13.195
O 5.572 5.722 6.009
O 2.434 0.994 14.242
O 5.227 1.973 7.056
O 4.283 1.336 12.641
O 7.076 1.631 5.455
```

Output
As for the total energy: -5.711 eV per atom. As for the space group: P2_1/c, No. 14. Its mass density is 2.587 Mg/m³. For the uncorrected formation energy, the calculation gives -1.495 eV/atom. The density of states at the Fermi level is 0.0 states/eV per cell.


Record 9
Compound: K6Si2S6O
Source: Alexandria
Functional: GGA-PBEsol
Structure: optimized geometry

The structure in extended XYZ format:
```
30
Lattice="8.683 0.000 0.000 0.000 11.624 0.000 -3.059 0.000 7.703" Properties=species:S:1:pos:R:3 pbc="T T T"
K 0.029 1.992 0.084
K -1.500 3.820 3.935
K 1.300 6.527 1.661
K -0.230 10.909 5.512
K 1.499 2.581 6.212
K 3.029 3.231 2.360
K 2.595 8.393 5.343
K 4.124 9.043 1.491
K 5.853 0.715 2.191
K 4.324 5.097 6.043
K 7.124 7.804 3.768
K 5.594 9.632 7.620
Si 0.132 5.937 6.535
Si 1.661 11.500 2.683
Si 3.962 0.125 5.020
Si 5.492 5.687 1.168
S 0.216 1.357 3.161
S -1.313 4.455 7.013
S -0.587 7.927 6.693
S 0.943 9.509 2.841
S 2.595 0.262 0.819
S 1.066 5.550 4.671
S 4.558 6.074 3.033
S 3.029 11.363 6.884
S 4.681 2.115 4.862
S 6.211 3.697 1.011
S 6.937 7.169 0.690
S 5.407 10.267 4.542
O 2.812 0.000 3.852
O 4.341 5.812 0.000
```

Output
As for the total energy: -4.686 eV per atom. As for the space group: P2_1/c, No. 14. Its mass density is 2.132 Mg/m³. For the uncorrected formation energy, the calculation gives -1.363 eV/atom. The density of states at the Fermi level is 0.0 states/eV per cell.


Record 10
Compound: KSmS2O8
Source: Alexandria
Functional: GGA-PBEsol
Structure: optimized geometry

The structure in extended XYZ format:
```
48
Lattice="8.561 0.000 0.000 0.000 7.095 0.000 -0.405 0.000 10.538" Properties=species:S:1:pos:R:3 pbc="T T T"
K 0.418 1.051 3.621
K 0.215 2.497 8.891
K 7.940 4.598 1.648
K 7.738 6.044 6.917
Sm 3.536 4.737 6.864
Sm 3.739 5.905 1.595
Sm 4.416 1.190 8.944
Sm 4.619 2.357 3.675
S 1.773 4.672 4.332
S 1.571 5.970 9.601
S 2.469 1.171 6.424
S 2.672 2.376 1.155
S 5.483 4.719 9.384
S 5.686 5.923 4.115
S 6.585 1.124 0.938
S 6.382 2.423 6.207
O 0.733 3.775 3.879
O 0.530 6.868 9.148
O 1.029 1.024 6.388
O 1.232 2.523 1.119
O 1.687 5.320 0.373
O 1.485 5.322 5.642
O 1.867 4.922 8.579
O 2.070 5.720 3.310
O 3.052 1.177 2.006
O 2.850 2.370 7.275
O 3.036 1.247 5.066
O 2.833 2.300 10.335
O 3.053 3.921 4.641
O 2.851 6.721 9.911
O 3.160 0.048 7.165
O 3.363 3.500 1.896
O 4.793 3.595 8.643
O 4.995 7.047 3.374
O 5.305 0.373 0.628
O 5.102 3.174 5.897
O 5.322 4.794 0.204
O 5.119 5.848 5.473
O 5.306 4.725 3.263
O 5.103 5.917 8.532
O 6.085 1.374 7.228
O 6.288 2.173 1.959
O 6.671 1.773 4.896
O 6.468 1.775 10.166
O 6.924 4.572 9.420
O 7.126 6.070 4.150
O 7.626 0.227 1.390
O 7.423 3.320 6.660
```

Output
As for the total energy: -6.890 eV per atom. As for the space group: P2_1/c, No. 14. Its mass density is 3.960 Mg/m³. For the uncorrected formation energy, the calculation gives -2.141 eV/atom. The density of states at the Fermi level is 0.0 states/eV per cell.


Record 11
Compound: K7TaS6O24
Source: Alexandria
Functional: GGA-PBEsol
Structure: optimized geometry

The structure in extended XYZ format:
```
38
Lattice="7.606 4.391 3.096 -7.606 4.391 3.096 0.000 -8.782 3.096" Properties=species:S:1:pos:R:3 pbc="T T T"
K 0.000 0.000 0.000
K -3.792 -3.588 5.114
K -5.004 1.490 4.175
K 1.211 -5.078 4.175
K -1.211 5.078 5.114
K 5.004 -1.490 5.114
K 3.792 3.588 4.175
Ta 0.000 0.000 4.644
S -0.971 -2.527 2.563
S -1.703 2.104 2.563
S 2.674 0.423 2.563
S -2.674 -0.423 6.725
S 1.703 -2.104 6.725
S 0.971 2.527 6.725
O -6.288 -2.398 4.955
O -1.997 -3.424 3.089
O -2.869 1.224 2.599
O -1.067 -6.645 4.334
O 0.374 -3.096 2.599
O -0.969 -1.287 3.517
O -5.221 4.246 4.334
O -1.966 3.441 3.089
O -0.630 1.483 3.517
O -3.963 0.018 6.200
O 1.599 -0.196 3.517
O -2.495 -1.872 6.689
O 2.495 1.872 2.599
O -1.599 0.196 5.771
O 3.963 -0.018 3.089
O 0.630 -1.483 5.771
O 1.966 -3.441 6.200
O 5.221 -4.246 4.955
O 0.969 1.287 5.771
O -0.374 3.096 6.689
O 1.067 6.645 4.955
O 2.869 -1.224 6.689
O 1.997 3.424 6.200
O 6.288 2.398 4.334
```

Output
As for the total energy: -6.427 eV per atom. As for the space group: R-3, No. 148. Its mass density is 2.759 Mg/m³. For the uncorrected formation energy, the calculation gives -1.880 eV/atom. The density of states at the Fermi level is 0.0 states/eV per cell.